Compound: TaAlSeBr2
Source: Alexandria
Functional: PBE-GGA
Structure: optimized geometry

The space group is P4/mmm (No. 123) and the conventional cell measures 4.9331, 4.9331 and 5.0553 Å, with angles of 90.00, 90.00 and 90.00 degrees. The distinct sites, in fractional coordinates, are Ta at (0.0000, 0.0000, 0.0000), Al at (0.5000, 0.5000, 0.5000), Se at (0.5000, 0.5000, 0.0000) and Br at (0.0000, 0.5000, 0.5000).

The calculation puts the total energy at -3.869 eV per atom. The energy above the lowest structure with this stoichiometry comes out at 308 kJ/mol of formula units. For the energy relative to the elements, uncorrected, the calculation gives 0.616 eV/atom.